## LiAgAu2 (SCAN)

Data for a PBEsol-optimized structure of LiAgAu2.

CIF file:
```
data_LiAgAu2
_chemical_formula_sum 'Li1 Ag1 Au2'
_symmetry_space_group_name_H-M 'P 4/m m m'
_symmetry_Int_Tables_number 123
_symmetry_space_group_name_Hall '-P 4 2'
_cell_length_a 3.958
_cell_length_b 3.958
_cell_length_c 4.042
_cell_angle_alpha 90.00
_cell_angle_beta 90.00
_cell_angle_gamma 90.00
loop_
_atom_site_label
_atom_site_fract_x
_atom_site_fract_y
_atom_site_fract_z
Li1 0.000 0.000 0.000
Ag1 0.500 0.500 0.000
Au1 0.000 0.500 0.500
```

Summary:
As for the distance to the lowest polymorph of the same formula: 0.0005 eV/atom. The calculation puts the formation energy at -0.37 eV/atom. As for the magnetic moment: 0.00 μB per formula unit.

---

## ZrTaIn (SCAN)

Data for a PBEsol-optimized structure of ZrTaIn.

CIF file:
```
data_ZrTaIn
_chemical_formula_sum 'Zr4 Ta4 In4'
_symmetry_space_group_name_H-M 'F -4 3 m'
_symmetry_Int_Tables_number 216
_symmetry_space_group_name_Hall 'F -4 2 3'
_cell_length_a 6.512
_cell_length_b 6.512
_cell_length_c 6.512
_cell_angle_alpha 90.00
_cell_angle_beta 90.00
_cell_angle_gamma 90.00
loop_
_atom_site_label
_atom_site_fract_x
_atom_site_fract_y
_atom_site_fract_z
Zr1 0.000 0.000 0.000
Ta1 0.000 0.000 0.500
In1 0.250 0.250 0.750
```

Summary:
As for the distance to the lowest polymorph of the same formula: 0.6348 eV/atom. The calculation puts the formation energy at 0.56 eV/atom. As for the magnetic moment: 0.00 μB per formula unit.

---

no.,D(E_F) (states/eV/atom)
1,0.2220
2,0.8668